## w
# Li3MnPd6 (PBE, optimized geometry)
data_Li3MnPd6
_symmetry_space_group_name_H-M 'F m -3 m'
_symmetry_Int_Tables_number 225
_symmetry_space_group_name_Hall '-F 4 2 3'
_cell_length_a 8.9755
_cell_length_b 8.9755
_cell_length_c 8.9755
_cell_angle_alpha 90.00
_cell_angle_beta 90.00
_cell_angle_gamma 90.00
loop_
_atom_site_label
_atom_site_type_symbol
_atom_site_fract_x
_atom_site_fract_y
_atom_site_fract_z
Li1 Li 0.0000 0.0000 0.0000
Li2 Li 0.2500 0.2500 0.2500
Mn1 Mn 0.0000 0.0000 0.5000
Pd1 Pd 0.0000 0.0000 0.2400
# - M_tot (μB per formula unit) = 4.11

## x
# Li3MnPd6 (PBE, optimized geometry)
data_Li3MnPd6
_symmetry_space_group_name_H-M 'P 1 21/m 1'
_symmetry_Int_Tables_number 11
_cell_length_a 7.6596
_cell_length_b 4.2115
_cell_length_c 9.0145
_cell_angle_alpha 90.00
_cell_angle_beta 102.49
_cell_angle_gamma 90.00
loop_
_symmetry_equiv_pos_as_xyz
'x,y,z'
'-x,-y,-z'
'-x,y+1/2,-z'
'x,-y+1/2,z'
loop_
_atom_site_label
_atom_site_type_symbol
_atom_site_fract_x
_atom_site_fract_y
_atom_site_fract_z
Li1 Li 0.0439 0.2500 0.3976
Li2 Li 0.1455 0.7500 0.1873
Li3 Li 0.2538 0.2500 0.9793
Mn1 Mn 0.4418 0.2500 0.6069
Pd1 Pd 0.0404 0.7500 0.8970
Pd2 Pd 0.1279 0.2500 0.6873
Pd3 Pd 0.2422 0.7500 0.4823
Pd4 Pd 0.3348 0.2500 0.2948
Pd5 Pd 0.3476 0.7500 0.7887
Pd6 Pd 0.4331 0.7500 0.0958
# - M_tot (μB per formula unit) = 4.63

Energies in kJ/mol of atoms, measured from the most stable structure: w 57.4; x 0.0.

## w
# Li2MnPt (PBE, optimized geometry)
data_Li2MnPt
_symmetry_space_group_name_H-M 'P 1 m 1'
_symmetry_Int_Tables_number 6
_cell_length_a 2.7979
_cell_length_b 3.9125
_cell_length_c 5.4772
_cell_angle_alpha 90.00
_cell_angle_beta 90.21
_cell_angle_gamma 90.00
loop_
_symmetry_equiv_pos_as_xyz
'x,y,z'
'x,-y,z'
loop_
_atom_site_label
_atom_site_type_symbol
_atom_site_fract_x
_atom_site_fract_y
_atom_site_fract_z
Li1 Li 0.0000 0.0000 0.0000
Li2 Li 0.4986 0.5000 0.2458
Mn1 Mn 0.9993 0.0000 0.5339
Pt1 Pt 0.4996 0.5000 0.7444
# - M_tot (μB per formula unit) = 4.10

## x
# Li2MnPt (PBE, optimized geometry)
data_Li2MnPt
_symmetry_space_group_name_H-M 'R 3 m'
_symmetry_Int_Tables_number 160
_symmetry_space_group_name_Hall 'R 3 -2"'
_cell_length_a 2.7858
_cell_length_b 2.7858
_cell_length_c 27.5714
_cell_angle_alpha 90.00
_cell_angle_beta 90.00
_cell_angle_gamma 120.00
loop_
_atom_site_label
_atom_site_type_symbol
_atom_site_fract_x
_atom_site_fract_y
_atom_site_fract_z
Li1 Li 0.0000 0.0000 0.0000
Li2 Li 0.0000 0.0000 0.2381
Mn1 Mn 0.0000 0.0000 0.4895
Pt1 Pt 0.0000 0.0000 0.7427
# - M_tot (μB per formula unit) = 3.82

## y
# Li2MnPt (PBE, optimized geometry)
data_Li2MnPt
_symmetry_space_group_name_H-M 'I -4 m 2'
_symmetry_Int_Tables_number 119
_symmetry_space_group_name_Hall 'I -4 -2'
_cell_length_a 4.3260
_cell_length_b 4.3260
_cell_length_c 6.1386
_cell_angle_alpha 90.00
_cell_angle_beta 90.00
_cell_angle_gamma 90.00
loop_
_atom_site_label
_atom_site_type_symbol
_atom_site_fract_x
_atom_site_fract_y
_atom_site_fract_z
Li1 Li 0.0000 0.0000 0.0000
Li2 Li 0.0000 0.5000 0.2500
Mn1 Mn 0.0000 0.0000 0.5000
Pt1 Pt 0.0000 0.5000 0.7500
# - M_tot (μB per formula unit) = 4.18

Energies in kJ/mol of atoms, measured from the most stable structure: w 8.1; x 20.4; y 0.0.

## w
# Li2MnPt (PBE, optimized geometry)
data_Li2MnPt
_symmetry_space_group_name_H-M 'P 4/m m m'
_symmetry_Int_Tables_number 123
_symmetry_space_group_name_Hall '-P 4 2'
_cell_length_a 3.2630
_cell_length_b 3.2630
_cell_length_c 5.3740
_cell_angle_alpha 90.00
_cell_angle_beta 90.00
_cell_angle_gamma 90.00
loop_
_atom_site_label
_atom_site_type_symbol
_atom_site_fract_x
_atom_site_fract_y
_atom_site_fract_z
Li1 Li 0.0000 0.0000 0.2240
Mn1 Mn 0.5000 0.5000 0.5000
Pt1 Pt 0.5000 0.5000 0.0000
# - M_tot (μB per formula unit) = 4.32

## x
# Li2MnPt (PBE, optimized geometry)
data_Li2MnPt
_symmetry_space_group_name_H-M 'R -3 m'
_symmetry_Int_Tables_number 166
_symmetry_space_group_name_Hall '-R 3 2"'
_cell_length_a 2.7439
_cell_length_b 2.7439
_cell_length_c 26.9210
_cell_angle_alpha 90.00
_cell_angle_beta 90.00
_cell_angle_gamma 120.00
loop_
_atom_site_label
_atom_site_type_symbol
_atom_site_fract_x
_atom_site_fract_y
_atom_site_fract_z
Li1 Li 0.0000 0.0000 0.2449
Mn1 Mn 0.0000 0.0000 0.0000
Pt1 Pt 0.0000 0.0000 0.5000
# - M_tot (μB per formula unit) = 3.36

Energies in kJ/mol of atoms, measured from the most stable structure: w 3.0; x 0.0.

## w
# Li2MnPt (PBE, optimized geometry)
data_Li2MnPt
_symmetry_space_group_name_H-M 'F m -3 m'
_symmetry_Int_Tables_number 225
_symmetry_space_group_name_Hall '-F 4 2 3'
_cell_length_a 5.9967
_cell_length_b 5.9967
_cell_length_c 5.9967
_cell_angle_alpha 90.00
_cell_angle_beta 90.00
_cell_angle_gamma 90.00
loop_
_atom_site_label
_atom_site_type_symbol
_atom_site_fract_x
_atom_site_fract_y
_atom_site_fract_z
Li1 Li 0.2500 0.2500 0.2500
Mn1 Mn 0.0000 0.0000 0.0000
Pt1 Pt 0.0000 0.0000 0.5000
# - M_tot (μB per formula unit) = 4.28

## x
# Li2MnPt (PBE, optimized geometry)
data_Li2MnPt
_symmetry_space_group_name_H-M 'I 4/m m m'
_symmetry_Int_Tables_number 139
_symmetry_space_group_name_Hall '-I 4 2'
_cell_length_a 3.7431
_cell_length_b 3.7431
_cell_length_c 8.1400
_cell_angle_alpha 90.00
_cell_angle_beta 90.00
_cell_angle_gamma 90.00
loop_
_atom_site_label
_atom_site_type_symbol
_atom_site_fract_x
_atom_site_fract_y
_atom_site_fract_z
Li1 Li 0.0000 0.5000 0.2500
Mn1 Mn 0.0000 0.0000 0.0000
Pt1 Pt 0.0000 0.0000 0.5000
# - M_tot (μB per formula unit) = 4.09

## y
# Li2MnPt (PBE, optimized geometry)
data_Li2MnPt
_symmetry_space_group_name_H-M 'C 1 m 1'
_symmetry_Int_Tables_number 8
_cell_length_a 9.4857
_cell_length_b 2.8292
_cell_length_c 4.7027
_cell_angle_alpha 90.00
_cell_angle_beta 113.72
_cell_angle_gamma 90.00
loop_
_symmetry_equiv_pos_as_xyz
'x,y,z'
'x,-y,z'
'x+1/2,y+1/2,z'
'x+1/2,-y+1/2,z'
loop_
_atom_site_label
_atom_site_type_symbol
_atom_site_fract_x
_atom_site_fract_y
_atom_site_fract_z
Li1 Li 0.0000 0.0000 0.0000
Li2 Li 0.2423 0.0000 0.8895
Mn1 Mn 0.4828 0.0000 0.4843
Pt1 Pt 0.2383 0.5000 0.3972
# - M_tot (μB per formula unit) = 3.86

Energies in kJ/mol of atoms, measured from the most stable structure: w 9.9; x 0.0; y 8.1.